Computed, not measured: crystalline PmNd2Zn4 at its relaxed geometry at the PBE level of DFT.

```
7
Lattice="-2.644 2.644 6.417 2.644 -2.644 6.417 2.644 2.644 -6.417" Properties=species:S:1:pos:R:3 pbc="T T T"
Pm 0.000 0.000 0.000
Nd 0.000 0.000 3.608
Nd 0.000 0.000 9.226
Zn 2.644 0.000 1.373
Zn 2.644 0.000 5.044
Zn 0.000 2.644 1.373
Zn 0.000 2.644 5.044
```

## Properties
For the total energy, the calculation gives -2.9148 eV/atom. Its formation energy from the elements is -0.15 eV per atom. Its symmetry is I4/mmm, No. 139.


Computed, not measured: crystalline CaCo2W at its relaxed geometry at the PBE level of DFT.

```
4
Lattice="5.024 -1.335 0.000 5.024 1.335 0.000 -1.285 0.000 4.490" Properties=species:S:1:pos:R:3 pbc="T T T"
Ca 0.000 0.000 0.000
Co 1.277 0.000 3.597
Co 4.667 0.000 2.296
W 7.504 0.000 1.651
```

## Properties
For the total energy, the calculation gives -6.8068 eV/atom. The value obtained for the energy above the lowest structure with this stoichiometry is 293 meV/atom. Its formation energy from the elements is 0.48 eV per atom. Its symmetry is Cm, No. 8.


| no. | M_tot (Bohr magnetons per cell) |
| --- | --- |
| 1 | 0.000 |
| 2 | 0.391 |